VASP calculation (PBE) on a relaxed Tm2Pd2O7 crystal.

a = 7.1854 Å, b = 7.1854 Å, c = 7.1854 Å
α = 60.00°, β = 60.00°, γ = 60.00°
Closest atoms and distances in Å follow each position.
Positions (direct):
1 Tm 0.6250 0.6250 0.6250  8 O 2.20-2.40
2 Tm 0.6250 0.6250 0.1250  8 O 2.20-2.40
3 Tm 0.6250 0.1250 0.6250  8 O 2.20-2.40
4 Tm 0.1250 0.6250 0.6250  8 O 2.20-2.40
5 Pd 0.6250 0.1250 0.1250  6 O 2.03
6 Pd 0.1250 0.6250 0.1250  6 O 2.03
7 Pd 0.1250 0.1250 0.6250  6 O 2.03
8 Pd 0.1250 0.1250 0.1250  6 O 2.03
9 O 0.2176 0.2176 0.7824  2 Pd 2.03
10 O 0.2176 0.7824 0.2176  2 Pd 2.03
11 O 0.4676 0.0324 0.4676  2 Pd 2.03
12 O 0.4676 0.4676 0.0324  2 Pd 2.03
13 O 0.7500 0.7500 0.7500  4 Tm 2.20
14 O 0.7824 0.2176 0.2176  2 Pd 2.03
15 O 0.4676 0.0324 0.0324  2 Pd 2.03
16 O 0.0324 0.4676 0.4676  2 Pd 2.03
17 O 0.0324 0.0324 0.4676  2 Pd 2.03
18 O 0.0324 0.4676 0.0324  2 Pd 2.03
19 O 0.2176 0.7824 0.7824  2 Pd 2.03
20 O 0.5000 0.5000 0.5000  4 Tm 2.20
21 O 0.7824 0.2176 0.7824  2 Pd 2.03
22 O 0.7824 0.7824 0.2176  2 Pd 2.03

Results
Magnetization ... 0.00 μB/f.u.
E_tot ... -6.862 eV per atom
Energy relative to the lowest polymorph listed for this composition ... 0.000 eV per atom
SG ... Fd-3m, No. 227
Mass density ... 8.39 g cm⁻³

---

VASP calculation (PBE) on a relaxed Tm2PdO crystal.

a = 3.2818 Å, b = 3.2818 Å, c = 8.2548 Å
α = 78.53°, β = 78.53°, γ = 60.00°
Closest atoms and distances in Å follow each position.
Positions (direct):
1 Tm 0.1083 0.1083 0.6752  3 O 2.36, 1 Pd 2.61
2 Tm 0.8917 0.8917 0.3248  3 O 2.36, 1 Pd 2.61
3 O 0.5000 0.5000 0.5000  6 Tm 2.36
4 Pd 0.0000 0.0000 0.0000  2 Tm 2.61

Results
Magnetization ... 0.00 μB/f.u.
N(E_F) ... 2.48 states/eV/cell
E_tot ... -6.072 eV per atom
Energy relative to the lowest polymorph listed for this composition ... 0.000 eV per atom
SG ... R-3m, No. 166
Mass density ... 10.20 g cm⁻³

---

VASP calculation (PBE) on a relaxed Tm2Pd2O7 crystal.

a = 5.4610 Å, b = 4.9357 Å, c = 5.5397 Å
α = 100.26°, β = 106.83°, γ = 94.72°
Closest atoms and distances in Å follow each position.
Positions (direct):
1 Tm 0.7857 0.6179 0.7048  6 O 2.11-2.32
2 Tm 0.2143 0.3821 0.2952  6 O 2.11-2.32
3 Pd 0.7340 0.9588 0.2398  6 O 2.02-2.25
4 Pd 0.2660 0.0412 0.7602  6 O 2.02-2.25
5 O 0.9894 0.2577 0.5599  2 Pd 2.09-2.14, 2 Tm 2.30-2.32
6 O 0.4798 0.7514 0.8983  2 Pd 2.03-2.04
7 O 0.0106 0.7423 0.4401  2 Pd 2.09-2.14, 2 Tm 2.30-2.32
8 O 0.5202 0.2486 0.1017  2 Pd 2.03-2.04
9 O 0.0000 0.0000 0.0000  2 Tm 2.24, 2 Pd 2.25
10 O 0.5169 0.7420 0.3994  1 Pd 2.02, 2 Tm 2.11-2.20
11 O 0.4831 0.2580 0.6006  1 Pd 2.02, 2 Tm 2.11-2.20

Results
Magnetization ... 0.00 μB/f.u.
N(E_F) ... 0.93 states/eV/cell
E_tot ... -6.470 eV per atom
Energy relative to the lowest polymorph listed for this composition ... 0.392 eV per atom
SG ... P-1, No. 2
Mass density ... 7.91 g cm⁻³

---

VASP calculation (PBE) on a relaxed Tm2Pd2O5 crystal.

a = 4.0228 Å, b = 4.0228 Å, c = 6.8583 Å
α = 90.00°, β = 90.00°, γ = 90.00°
Closest atoms and distances in Å follow each position.
Positions (direct):
1 Tm 0.0000 0.0000 0.0000  8 O 2.53
2 Tm 0.0000 0.0000 0.5000  12 O 2.76-2.84
3 Pd 0.5000 0.5000 0.1899  5 O 2.02-2.13
4 Pd 0.5000 0.5000 0.8101  5 O 2.02-2.13
5 O 0.5000 0.0000 0.2240  2 Pd 2.02
6 O 0.5000 0.0000 0.7760  2 Pd 2.02
7 O 0.5000 0.5000 0.5000  2 Pd 2.13
8 O 0.0000 0.5000 0.2240  2 Pd 2.02
9 O 0.0000 0.5000 0.7760  2 Pd 2.02

Results
Magnetization ... 0.00 μB/f.u.
N(E_F) ... 4.04 states/eV/cell
E_tot ... -6.519 eV per atom
SG ... P4/mmm, No. 123
Mass density ... 9.44 g cm⁻³

---

VASP calculation (PBE) on a relaxed Tm6Pd2O crystal.

a = 6.3412 Å, b = 6.8791 Å, c = 9.4366 Å
α = 90.00°, β = 88.64°, γ = 90.00°
Closest atoms and distances in Å follow each position.
Positions (direct):
1 Tm 0.1180 0.0246 0.2552  1 O 2.42
2 Tm 0.1782 0.3114 0.5567  1 O 2.49
3 Tm 0.1869 0.3169 0.9443  1 O 2.42
4 Tm 0.3131 0.8169 0.5557  1 O 2.42
5 Tm 0.3218 0.8114 0.9433  1 O 2.49
6 Tm 0.3820 0.5246 0.2448  1 O 2.42
7 Tm 0.8820 0.9754 0.7448  1 O 2.42
8 Tm 0.8218 0.6886 0.4433  1 O 2.49
9 Tm 0.8131 0.6831 0.0557  1 O 2.42
10 Tm 0.6869 0.1831 0.4443  1 O 2.42
11 Tm 0.6782 0.1886 0.0567  1 O 2.49
12 Tm 0.6180 0.4754 0.7552  1 O 2.42
13 Pd 0.0463 0.5959 0.7531  6 Tm 2.79-2.94
14 Pd 0.4537 0.0959 0.7469  6 Tm 2.79-2.94
15 Pd 0.5463 0.9041 0.2531  6 Tm 2.79-2.94
16 Pd 0.9537 0.4041 0.2469  6 Tm 2.79-2.94
17 O 0.5000 0.5000 0.0000  6 Tm 2.42-2.49
18 O 0.0000 0.0000 0.5000  6 Tm 2.42-2.49

Results
Magnetization ... 0.00 μB/f.u.
N(E_F) ... 16.97 states/eV/cell
E_tot ... -5.774 eV per atom
SG ... P2_1/c, No. 14
Mass density ... 10.03 g cm⁻³

---

VASP calculation (PBE) on a relaxed Tm2PdO crystal.

a = 3.1155 Å, b = 3.1155 Å, c = 7.0169 Å
α = 90.00°, β = 90.00°, γ = 90.00°
Closest atoms and distances in Å follow each position.
Positions (direct):
1 Tm 0.0000 0.0000 0.7729  4 O 2.72, 4 Pd 2.92
2 Tm 0.0000 0.0000 0.2271  4 O 2.72, 4 Pd 2.92
3 O 0.5000 0.5000 0.0000  8 Tm 2.72
4 Pd 0.5000 0.5000 0.5000  8 Tm 2.92, 4 Pd 3.12

Results
Magnetization ... 0.00 μB/f.u.
N(E_F) ... 3.06 states/eV/cell
E_tot ... -6.070 eV per atom
Energy relative to the lowest polymorph listed for this composition ... 0.002 eV per atom
SG ... P4/mmm, No. 123
Mass density ... 11.22 g cm⁻³

---

VASP calculation (PBE) on a relaxed UPdO3 crystal.

a = 4.2102 Å, b = 4.2102 Å, c = 4.2102 Å
α = 90.00°, β = 90.00°, γ = 90.00°
Closest atoms and distances in Å follow each position.
Positions (direct):
1 U 0.5000 0.5000 0.5000  6 O 2.11
2 Pd 0.0000 0.0000 0.0000  12 O 2.98
3 O 0.5000 0.5000 0.0000  2 U 2.11
4 O 0.5000 0.0000 0.5000  2 U 2.11
5 O 0.0000 0.5000 0.5000  2 U 2.11

Results
Magnetization ... 0.10 μB/f.u.
N(E_F) ... 6.07 states/eV/cell
E_tot ... -8.297 eV per atom
SG ... Pm-3m, No. 221
Mass density ... 8.73 g cm⁻³

---

Calculated energy relative to the elements, uncorrected, -21.448; -5.194; -17.133; -14.552; -9.795; -5.185; -10.128 eV per formula unit (same order as the records).